[1]
The following is a PBE with a Hubbard U calculation of a geometry-optimized Na2VAsCO7 structure, from Alexandria.

Values from the calculation:
V: 13.91 Å³ per atom
Final energy: -79.05 eV per formula unit
DOS at the Fermi energy: 0.0000 states/eV/atom

Cell lengths 5.3730, 6.7483, 9.2111 Å; angles 90.00, 92.06, 90.00 degrees
With the nearest neighbours (Å) after each atom.
Positions (direct):
Na  0.2628  0.5009  0.2163  5 O 2.28-2.51
Na  0.2628  0.9991  0.2163  5 O 2.28-2.51
Na  0.7372  0.4991  0.7837  5 O 2.28-2.51
Na  0.7372  0.0009  0.7837  5 O 2.28-2.51
V  0.2949  0.7500  0.6548  6 O 2.02-2.12
V  0.7051  0.2500  0.3452  6 O 2.02-2.12
C  0.2243  0.7500  0.9214  3 O 1.26-1.33
C  0.7757  0.2500  0.0786  3 O 1.26-1.33
O  0.3502  0.2500  0.4103  1 As 1.73
O  0.1822  0.7500  0.0547  1 C 1.26
O  0.1087  0.7500  0.4484  1 As 1.73
O  0.4476  0.7500  0.8679  1 C 1.31
O  0.0424  0.7500  0.8189  1 C 1.33
O  0.8178  0.2500  0.9453  1 C 1.26
O  0.6498  0.7500  0.5897  1 As 1.73
O  0.3050  0.0474  0.6774  1 As 1.72
O  0.3050  0.4526  0.6774  1 As 1.72
O  0.8913  0.2500  0.5516  1 As 1.73
O  0.9576  0.2500  0.1811  1 C 1.33
O  0.5524  0.2500  0.1321  1 C 1.31
O  0.6950  0.9526  0.3226  1 As 1.72
O  0.6950  0.5474  0.3226  1 As 1.72
As  0.7888  0.7500  0.4234  4 O 1.72-1.73
As  0.2112  0.2500  0.5766  4 O 1.72-1.73

[2]
The following is a PBE with a Hubbard U calculation of a geometry-optimized NaVAsCO7 structure, from Alexandria.

Values from the calculation:
V: 15.41 Å³ per atom
Final energy: -74.45 eV per formula unit
DOS at the Fermi energy: 0.0000 states/eV/atom

Cell lengths 9.4340, 6.5147, 5.5199 Å; angles 90.00, 88.16, 90.00 degrees
With the nearest neighbours (Å) after each atom.
Positions (direct):
As  0.5559  0.7582  0.2790  4 O 1.70-1.74
As  0.4441  0.2582  0.7209  4 O 1.70-1.74
Na  0.1941  0.4945  0.2054  3 O 2.26-2.36
Na  0.8059  0.9947  0.7947  3 O 2.26-2.36
O  0.0391  0.2603  0.3602  1 C 1.23
O  0.6628  0.5465  0.2140  1 As 1.74, 1 V 1.84
O  0.1955  0.7357  0.5246  1 C 1.35
O  0.9609  0.7603  0.6398  1 C 1.23
O  0.3331  0.4555  0.7997  1 As 1.71
O  0.1391  0.7433  0.9112  1 C 1.34
O  0.5940  0.2433  0.8837  1 As 1.70
O  0.6669  0.9555  0.2003  1 As 1.71
O  0.4836  0.2497  0.4146  1 As 1.72
O  0.8045  0.2356  0.4754  1 C 1.35
O  0.3373  0.0464  0.7861  1 As 1.74, 1 V 1.84
O  0.5162  0.7497  0.5853  1 As 1.72
O  0.8609  0.2433  0.0888  1 C 1.34
O  0.4060  0.7433  0.1162  1 As 1.70
V  0.6650  0.2646  0.2211  6 O 1.84-2.02
V  0.3350  0.7646  0.7790  6 O 1.84-2.02
C  0.9136  0.2461  0.3122  3 O 1.23-1.35
C  0.0864  0.7461  0.6878  3 O 1.23-1.35